Entry 1:
The following is a DFT calculation (PBE) of crystalline AlSn3Se2ClO8 at its relaxed geometry.

Output
Energy = -167.74 eV per cell
Magnetization = 0.00 Bohr magnetons per cell
Space group = P2_1 (4)
Formation energy from raw total energies = -1.31 eV/atom

Cell lengths 7.1639, 8.7896, 10.8299 Å; angles 90.00, 98.91, 90.00 degrees
Sites, in units of the cell vectors:
O  0.5874  0.1438  0.3507
O  0.2331  0.1738  0.0774
Sn  0.9270  0.5256  0.4879
O  0.7669  0.6738  0.9226
Cl  0.0650  0.7925  0.3279
O  0.6800  0.8949  0.0793
Sn  0.0730  0.0256  0.5121
O  0.4391  0.8251  0.8757
O  0.7369  0.7924  0.6095
O  0.1372  0.8941  0.6728
O  0.2631  0.2924  0.3905
Cl  0.9348  0.2925  0.6722
O  0.0892  0.6542  0.8059
Sn  0.9852  0.9540  0.1078
O  0.6178  0.5473  0.4787
Se  0.5871  0.7352  0.9989
O  0.4126  0.6438  0.6493
Sn  0.1033  0.3558  0.2106
Se  0.4129  0.2352  0.0011
Se  0.4696  0.2140  0.4694
O  0.3200  0.3949  0.9207
Se  0.5304  0.7140  0.5306
O  0.9108  0.1542  0.1940
O  0.8628  0.3941  0.3272
Al  0.2802  0.7474  0.7478
O  0.3822  0.0473  0.5213
Sn  0.8967  0.8558  0.7894
O  0.5609  0.3251  0.1243
Al  0.7198  0.2474  0.2522
Sn  0.0148  0.4540  0.8922

Entry 2:
The following is a DFT calculation (PBE) of crystalline YCd3Au3 at its relaxed geometry.

Output
Distance to the lowest polymorph of the same formula = 0.683 eV/atom
Energy = -34.22 eV per cell
Magnetization = 0.00 Bohr magnetons per cell
Space group = Pm-3n (223)

Cell lengths 7.4856, 7.4856, 7.4856 Å; angles 90.00, 90.00, 90.00 degrees
Sites, in units of the cell vectors:
Au  0.5000  0.0000  0.7500
Cd  0.5000  0.2500  0.0000
Au  0.2500  0.5000  0.0000
Au  0.0000  0.2500  0.5000
Cd  0.5000  0.7500  0.0000
Au  0.7500  0.5000  0.0000
Cd  0.0000  0.5000  0.7500
Cd  0.0000  0.5000  0.2500
Y  0.5000  0.5000  0.5000
Au  0.5000  0.0000  0.2500
Au  0.0000  0.7500  0.5000
Y  0.0000  0.0000  0.0000
Cd  0.2500  0.0000  0.5000
Cd  0.7500  0.0000  0.5000